Entry 1:
A geometry-optimized Co2AgP2 structure. Source: Alexandria via LeMat-Bulk, functional PBE.

Output
Formation energy from the elements: -0.09 eV/atom
V: 13.37 Å³/atom
Total energy: -5.668 eV/atom
Crystal system: tetragonal
Total moment: 0.00 Bohr magnetons per cell
Space group: I4/mmm, No. 139
D(E_F): 0.501 states/eV/atom

Unit cell a=5.8702 b=5.8702 c=5.8702 alpha=144.81 beta=144.81 gamma=50.61
Element x y z (fractional)
Co 0.1269 0.1269 0.0000
Co 0.8731 0.8731 0.0000
Ag 0.5000 0.5000 0.0000
P 0.2500 0.7500 0.5000
P 0.7500 0.2500 0.5000

=====

Entry 2:
A geometry-optimized NaCoSe2N structure. Source: Alexandria via LeMat-Bulk, functional PBE.

Output
V: 17.88 Å³/atom
Total energy: -4.720 eV/atom
Crystal system: tetragonal
E_form (uncorrected): 0.0243 eV per atom
Total moment: 0.00 Bohr magnetons per cell
Space group: P4/mmm, No. 123
D(E_F): 0.490 states/eV/atom

Unit cell a=5.1620 b=5.1620 c=3.3546 alpha=90.00 beta=90.00 gamma=90.00
Element x y z (fractional)
Na 0.0000 0.0000 0.0000
Co 0.5000 0.5000 0.5000
Se 0.0000 0.5000 0.5000
Se 0.5000 0.0000 0.5000
N 0.5000 0.5000 0.0000

=====

Entry 3:
A geometry-optimized ReAuIO2 structure. Source: Alexandria via LeMat-Bulk, functional PBE.

Output
V: 17.57 Å³/atom
Total energy: -6.016 eV/atom
Crystal system: tetragonal
E_form (uncorrected): -0.5778 eV per atom
Total moment: 0.00 Bohr magnetons per cell
Space group: P4/mmm, No. 123
D(E_F): 0.481 states/eV/atom

Unit cell a=3.8586 b=3.8586 c=5.8990 alpha=90.00 beta=90.00 gamma=90.00
Element x y z (fractional)
Re 0.0000 0.0000 0.0000
Au 0.0000 0.0000 0.5000
I 0.5000 0.5000 0.5000
O 0.0000 0.5000 0.0000
O 0.5000 0.0000 0.0000

=====

Entry 4:
A geometry-optimized FeNi structure. Source: Alexandria via LeMat-Bulk, functional PBE.

Output
Formation energy from the elements: -0.03 eV/atom
V: 11.33 Å³/atom
Total energy: -7.152 eV/atom
Crystal system: monoclinic
Total moment: 6.41 Bohr magnetons per cell
Space group: C2/m, No. 12
D(E_F): 0.805 states/eV/atom

Unit cell a=4.3516 b=4.3516 c=4.3938 alpha=99.70 beta=99.70 gamma=33.58
Element x y z (fractional)
Fe 0.1236 0.1236 0.3598
Fe 0.8764 0.8764 0.6402
Ni 0.3739 0.3739 0.1338
Ni 0.6261 0.6261 0.8662

=====

Entry 5:
A geometry-optimized Nd2CoAs3Rh4 structure. Source: Alexandria via LeMat-Bulk, functional PBE.

Output
Formation energy from the elements: -0.81 eV/atom
V: 18.01 Å³/atom
Total energy: -6.807 eV/atom
Crystal system: tetragonal
Total moment: 2.03 Bohr magnetons per cell
Space group: P-4m2, No. 115
D(E_F): 0.607 states/eV/atom

Unit cell a=4.2137 b=4.2137 c=10.1436 alpha=90.00 beta=90.00 gamma=90.00
Element x y z (fractional)
Nd 0.0000 0.5000 0.2437
Nd 0.5000 0.0000 0.7563
Co 0.5000 0.5000 0.0000
As 0.0000 0.0000 0.0000
As 0.0000 0.5000 0.6384
As 0.5000 0.0000 0.3616
Rh 0.0000 0.0000 0.5000
Rh 0.0000 0.5000 0.8774
Rh 0.5000 0.0000 0.1226
Rh 0.5000 0.5000 0.5000

=====

Entry 6:
A geometry-optimized CaPdNF2 structure. Source: Alexandria via LeMat-Bulk, functional PBE.

Output
V: 15.20 Å³/atom
Total energy: -4.938 eV/atom
Crystal system: tetragonal
E_form (uncorrected): -1.0860 eV per atom
Total moment: 0.00 Bohr magnetons per cell
Space group: P4/mmm, No. 123
D(E_F): 0.508 states/eV/atom

Unit cell a=4.4742 b=4.4742 c=3.7956 alpha=90.00 beta=90.00 gamma=90.00
Element x y z (fractional)
Ca 0.0000 0.0000 0.0000
Pd 0.5000 0.5000 0.5000
N 0.5000 0.5000 0.0000
F 0.0000 0.5000 0.5000
F 0.5000 0.0000 0.5000

=====

Entry 7:
A geometry-optimized RbYCoCl6 structure. Source: Alexandria via LeMat-Bulk, functional PBE.

Output
V: 31.77 Å³/atom
Total energy: -4.488 eV/atom
Crystal system: monoclinic
E_form (uncorrected): -1.6421 eV per atom
Total moment: 3.00 Bohr magnetons per cell
Space group: C2, No. 5
D(E_F): 0.068 states/eV/atom

Unit cell a=6.6929 b=6.6929 c=7.3816 alpha=90.10 beta=90.10 gamma=120.14
Element x y z (fractional)
Rb 0.0000 0.0000 0.0000
Y 0.6663 0.3337 0.5000
Co 0.3331 0.6669 0.5000
Cl 0.0210 0.3830 0.6973
Cl 0.0217 0.6374 0.3029
Cl 0.3626 0.9783 0.6971
Cl 0.3690 0.3896 0.2992
Cl 0.6104 0.6310 0.7008
Cl 0.6170 0.9790 0.3027

=====

Entry 8:
A geometry-optimized SrTeSCl2 structure. Source: Alexandria via LeMat-Bulk, functional PBE.

Output
V: 31.86 Å³/atom
Total energy: -3.261 eV/atom
Crystal system: tetragonal
E_form (uncorrected): -0.7319 eV per atom
Total moment: 0.00 Bohr magnetons per cell
Space group: P4/mmm, No. 123
D(E_F): 0.410 states/eV/atom

Unit cell a=5.4725 b=5.4725 c=5.3188 alpha=90.00 beta=90.00 gamma=90.00
Element x y z (fractional)
Sr 0.0000 0.0000 0.0000
Te 0.5000 0.5000 0.5000
S 0.5000 0.5000 0.0000
Cl 0.0000 0.5000 0.5000
Cl 0.5000 0.0000 0.5000